Computed, not measured: crystalline Dy8As4PSe3 at its relaxed geometry at the PBE level of DFT.

Lattice parameters (Å, degrees): 8.1883 8.1798 8.1882 120.03 120.00 90.00
Sites, in units of the cell vectors:
Dy: 0.2470 0.7535 0.0065
Dy: 0.2470 0.7536 0.4940
Dy: 0.2463 0.2388 0.4925
Dy: 0.7596 0.7535 0.0065
Dy: 0.2404 0.2465 0.9935
Dy: 0.7537 0.7612 0.5075
Dy: 0.7530 0.2464 0.5060
Dy: 0.7530 0.2465 0.9935
As: 0.5000 0.0000 0.0000
As: 0.5000 0.0000 0.5000
As: 0.0000 0.0000 0.0000
As: 0.0000 0.0000 0.5000
P: 0.0000 0.5000 0.0000
Se: 0.5000 0.5000 0.0000
Se: 0.5000 0.5000 0.5000
Se: 0.0000 0.5000 0.5000

Properties
**Calculated volume**: 387.6 Å³ per cell
**Calculated total energy**: -6.15 eV/atom
**Space-group type**: No. 166
**E_form (uncorrected)**: -27.1 eV per formula unit
**Magnetic moment**: 0.00 μB per cell